(1)
Compound: Pm2TaHO6
Source: the Alexandria database
Functional: PBE-GGA
Structure: relaxed

Geometry as CIF:
```
data_Pm2TaHO6
_cell_length_a 5.526
_cell_length_b 4.115
_cell_length_c 11.369
_cell_angle_alpha 90.00
_cell_angle_beta 115.85
_cell_angle_gamma 90.00
_symmetry_space_group_name_H-M 'P 1 21/c 1'
_symmetry_Int_Tables_number 14
_symmetry_space_group_name_Hall '-P 2ybc'
loop_
_atom_site_label
_atom_site_type_symbol
_atom_site_fract_x
_atom_site_fract_y
_atom_site_fract_z
Pm1 Pm 0.191 0.158 0.188
Ta1 Ta 0.500 0.000 0.000
H1 H 0.000 0.000 0.500
O1 O 0.142 0.229 0.474
O2 O 0.237 0.702 0.331
O3 O 0.417 0.744 0.124
```

Output
ρ (g/cm3): 8.11
Raw total energy (eV per cell): -162.300



(2)
Compound: Tl2As
Source: the Alexandria database
Functional: PBE-GGA
Structure: relaxed

Geometry as CIF:
```
data_Tl2As
_cell_length_a 5.3588
_cell_length_b 5.3588
_cell_length_c 3.2872
_cell_angle_alpha 90.00
_cell_angle_beta 90.00
_cell_angle_gamma 120.00
_symmetry_space_group_name_H-M 'P -3 m 1'
_symmetry_Int_Tables_number 164
_symmetry_space_group_name_Hall '-P 3 2"'
loop_
_atom_site_label
_atom_site_type_symbol
_atom_site_fract_x
_atom_site_fract_y
_atom_site_fract_z
Tl1 Tl 0.3333 0.6667 0.2283
As1 As 0.0000 0.0000 0.5000
```

Output
Excess energy over the best structure of this formula in the dataset (meV/atom): 127.9
ρ (g/cm3): 9.82
Energy of formation (eV per atom): 0.1482



(3)
Compound: W2SeCl
Source: the Alexandria database
Functional: PBE-GGA
Structure: relaxed

Geometry as CIF:
```
data_W2SeCl
_cell_length_a 5.755
_cell_length_b 5.755
_cell_length_c 9.856
_cell_angle_alpha 90.00
_cell_angle_beta 90.00
_cell_angle_gamma 90.00
_symmetry_space_group_name_H-M 'I -4 2 d'
_symmetry_Int_Tables_number 122
_symmetry_space_group_name_Hall 'I -4 2bw'
loop_
_atom_site_label
_atom_site_type_symbol
_atom_site_fract_x
_atom_site_fract_y
_atom_site_fract_z
W1 W 0.227 0.250 0.125
Se1 Se 0.000 0.000 0.500
Cl1 Cl 0.000 0.000 0.000
```

Output
Formation energy (no corrections) (eV per atom): 1.29
Excess energy over the best structure of this formula in the dataset (meV/atom): 1323.8
ρ (g/cm3): 9.81



(4)
Compound: La3Au4
Source: the Alexandria database
Functional: PBE-GGA
Structure: relaxed

Geometry as CIF:
```
data_La3Au4
_cell_length_a 6.7139
_cell_length_b 6.7139
_cell_length_c 5.0830
_cell_angle_alpha 90.00
_cell_angle_beta 90.00
_cell_angle_gamma 120.00
_symmetry_space_group_name_H-M 'P 6/m m m'
_symmetry_Int_Tables_number 191
_symmetry_space_group_name_Hall '-P 6 2'
loop_
_atom_site_label
_atom_site_type_symbol
_atom_site_fract_x
_atom_site_fract_y
_atom_site_fract_z
La1 La 0.0000 0.5000 0.0000
Au1 Au 0.0000 0.0000 0.2524
Au2 Au 0.3333 0.6667 0.5000
```

Output
Excess energy over the best structure of this formula in the dataset (meV/atom): 540.2
ρ (g/cm3): 10.08
Energy of formation (eV per atom): -0.3004



(5)
Compound: Cd2HgPd
Source: the Alexandria database
Functional: PBE-GGA
Structure: relaxed

Geometry as CIF:
```
data_Cd2HgPd
_cell_length_a 3.051
_cell_length_b 4.750
_cell_length_c 11.670
_cell_angle_alpha 90.02
_cell_angle_beta 97.48
_cell_angle_gamma 90.00
_symmetry_space_group_name_H-M 'P -1'
_symmetry_Int_Tables_number 2
_symmetry_space_group_name_Hall '-P 1'
loop_
_atom_site_label
_atom_site_type_symbol
_atom_site_fract_x
_atom_site_fract_y
_atom_site_fract_z
Cd1 Cd 0.057 0.251 0.115
Cd2 Cd 0.149 0.750 0.299
Hg1 Hg 0.291 0.750 0.582
Pd1 Pd 0.454 0.249 0.907
```

Output
ρ (g/cm3): 10.53
Energy of formation (eV per atom): -0.2000



(6)
Compound: MgTa2Te
Source: the Alexandria database
Functional: PBE-GGA
Structure: relaxed

Geometry as CIF:
```
data_MgTa2Te
_cell_length_a 3.103
_cell_length_b 4.837
_cell_length_c 5.562
_cell_angle_alpha 90.00
_cell_angle_beta 102.28
_cell_angle_gamma 90.00
_symmetry_space_group_name_H-M 'P 1 m 1'
_symmetry_Int_Tables_number 6
_symmetry_space_group_name_Hall 'P -2y'
loop_
_atom_site_label
_atom_site_type_symbol
_atom_site_fract_x
_atom_site_fract_y
_atom_site_fract_z
Mg1 Mg 0.000 0.000 0.000
Ta1 Ta 0.441 0.000 0.489
Ta2 Ta 0.684 0.500 0.273
Te1 Te 0.394 0.500 0.736
```

Output
Formation energy (no corrections) (eV per atom): 0.33
Excess energy over the best structure of this formula in the dataset (meV/atom): 214.3
ρ (g/cm3): 10.46



(7)
Compound: AgW
Source: the Alexandria database
Functional: PBE-GGA
Structure: relaxed

Geometry as CIF:
```
data_AgW
_cell_length_a 2.8117
_cell_length_b 2.8117
_cell_length_c 29.6844
_cell_angle_alpha 90.00
_cell_angle_beta 90.00
_cell_angle_gamma 120.00
_symmetry_space_group_name_H-M 'R -3 m'
_symmetry_Int_Tables_number 166
_symmetry_space_group_name_Hall '-R 3 2"'
loop_
_atom_site_label
_atom_site_type_symbol
_atom_site_fract_x
_atom_site_fract_y
_atom_site_fract_z
Ag1 Ag 0.0000 0.0000 0.1246
W1 W 0.0000 0.0000 0.3739
```

Output
Excess energy over the best structure of this formula in the dataset (meV/atom): 113.3
ρ (g/cm3): 14.30
Energy of formation (eV per atom): 0.4563



(8)
Compound: GaNiHg
Source: the Alexandria database
Functional: PBE-GGA
Structure: relaxed

Geometry as CIF:
```
data_GaNiHg
_cell_length_a 4.438
_cell_length_b 4.927
_cell_length_c 6.054
_cell_angle_alpha 113.84
_cell_angle_beta 110.20
_cell_angle_gamma 90.16
_symmetry_space_group_name_H-M 'P -1'
_symmetry_Int_Tables_number 2
_symmetry_space_group_name_Hall '-P 1'
loop_
_atom_site_label
_atom_site_type_symbol
_atom_site_fract_x
_atom_site_fract_y
_atom_site_fract_z
Ga1 Ga 0.250 0.163 0.000
Ni1 Ni 0.249 0.656 0.000
Hg1 Hg 0.000 0.500 0.500
Hg2 Hg 0.500 0.000 0.500
```

Output
Excess energy over the best structure of this formula in the dataset (meV/atom): 59.6
ρ (g/cm3): 9.75
Energy of formation (eV per atom): -0.0837